# 1
Computed, not measured: a relaxed structure of La2ErTa at the PBE level of DFT.

Lattice parameters (Å, degrees): 12.3038 12.3038 12.3038 15.36 15.36 15.36
Fractional coordinates of all 4 atoms:
La 0.0798 0.0798 0.0798
La 0.9202 0.9202 0.9202
Er 0.5000 0.5000 0.5000
Ta 0.0000 0.0000 0.0000

Properties
* mass density: 9.1 g/cm³
* Fermi-level density of states: 1.77 states/eV/atom
* energy of formation: 0.6377 eV/atom



# 2
Computed, not measured: a relaxed structure of Cs2HgRhCl6 at the PBE level of DFT.

Lattice parameters (Å, degrees): 7.3715 7.3715 7.3715 119.52 119.52 90.83
Fractional coordinates of all 10 atoms:
Cs 0.2500 0.7500 0.5000
Cs 0.7500 0.2500 0.5000
Hg 0.0000 0.0000 0.0000
Rh 0.5000 0.5000 0.0000
Cl 0.2659 0.2659 0.0000
Cl 0.2702 0.2702 0.5405
Cl 0.2702 0.7298 0.0000
Cl 0.7298 0.2702 0.0000
Cl 0.7298 0.7298 0.4595
Cl 0.7341 0.7341 0.0000

Properties
* formation energy without anion corrections: -1127 meV/atom
* mass density: 4.6 g/cm³
* Fermi-level density of states: 0.89 states/eV/atom



# 3
Computed, not measured: a relaxed structure of Cs4AuIF at the PBE level of DFT.

Lattice parameters (Å, degrees): 8.6967 8.8215 10.4021 90.00 107.16 90.00
Fractional coordinates of all 14 atoms:
Cs 0.0243 0.0152 0.2316
Cs 0.0243 0.4848 0.2316
Cs 0.4213 0.2500 0.5899
Cs 0.4488 0.2500 0.1272
Cs 0.5512 0.7500 0.8728
Cs 0.5787 0.7500 0.4101
Cs 0.9757 0.5152 0.7684
Cs 0.9757 0.9848 0.7684
Au 0.2351 0.7500 0.0620
Au 0.7649 0.2500 0.9380
I 0.1986 0.7500 0.5421
I 0.8014 0.2500 0.4579
F 0.2585 0.2500 0.3123
F 0.7415 0.7500 0.6877

Properties
* formation energy without anion corrections: -1244 meV/atom
* mass density: 3.8 g/cm³
* Fermi-level density of states: 0.48 states/eV/atom



# 4
Computed, not measured: a relaxed structure of Ca2ReW at the PBE level of DFT.

Lattice parameters (Å, degrees): 2.7781 5.1538 5.5477 90.00 95.15 90.00
Fractional coordinates of all 4 atoms:
Ca 0.0059 0.0000 0.2528
Ca 0.9941 0.0000 0.7472
Re 0.5000 0.5000 0.5000
W 0.5000 0.5000 0.0000

Properties
* mass density: 9.4 g/cm³
* Fermi-level density of states: 0.75 states/eV/atom
* energy of formation: 0.8630 eV/atom



# 5
Computed, not measured: a relaxed structure of NaAgAu2Cl8 at the PBE level of DFT.

Lattice parameters (Å, degrees): 7.9351 7.9351 7.9351 104.45 104.45 120.05
Fractional coordinates of all 12 atoms:
Na 0.0000 0.0000 0.0000
Ag 0.7500 0.2500 0.5000
Au 0.2500 0.7500 0.5000
Au 0.5000 0.5000 0.0000
Cl 0.0202 0.3551 0.3349
Cl 0.0202 0.6852 0.6651
Cl 0.1091 0.2788 0.8304
Cl 0.3148 0.9798 0.3349
Cl 0.4484 0.2788 0.1696
Cl 0.6449 0.9798 0.6651
Cl 0.7212 0.5516 0.8304
Cl 0.7212 0.8909 0.1696

Properties
* formation energy without anion corrections: -331 meV/atom
* mass density: 3.6 g/cm³
* Fermi-level density of states: 0.45 states/eV/atom



# 6
Computed, not measured: a relaxed structure of Na5SmBr8 at the PBE level of DFT.

Lattice parameters (Å, degrees): 8.0879 8.0879 8.0879 107.10 107.10 114.33
Fractional coordinates of all 14 atoms:
Na 0.0000 0.0000 0.0000
Na 0.1738 0.0940 0.5595
Na 0.3857 0.8262 0.9202
Na 0.5345 0.6143 0.4405
Na 0.9060 0.4655 0.0798
Sm 0.7500 0.2500 0.5000
Br 0.0054 0.7440 0.6485
Br 0.0955 0.3570 0.3515
Br 0.1283 0.3921 0.8350
Br 0.2560 0.9045 0.2615
Br 0.5571 0.2933 0.1650
Br 0.6079 0.4429 0.7362
Br 0.6430 0.9946 0.7385
Br 0.7067 0.8717 0.2638

Properties
* formation energy without anion corrections: -1609 meV/atom
* mass density: 3.7 g/cm³
* Fermi-level density of states: 0.00 states/eV/atom



# 7
Computed, not measured: a relaxed structure of TlBi2OsBr at the PBE level of DFT.

Lattice parameters (Å, degrees): 5.8109 5.8109 5.4397 90.00 90.00 90.00
Fractional coordinates of all 5 atoms:
Tl 0.0000 0.0000 0.0000
Bi 0.0000 0.5000 0.0000
Bi 0.5000 0.0000 0.0000
Os 0.5000 0.5000 0.5000
Br 0.0000 0.0000 0.5000

Properties
* formation energy without anion corrections: 1703 meV/atom
* mass density: 8.1 g/cm³
* Fermi-level density of states: 1.17 states/eV/atom



# 8
Computed, not measured: a relaxed structure of ZrTc2Sb at the PBE level of DFT.

Lattice parameters (Å, degrees): 3.1464 4.2097 5.4184 90.00 90.00 90.00
Fractional coordinates of all 4 atoms:
Zr 0.0000 0.0000 0.0000
Tc 0.0000 0.0000 0.5252
Tc 0.5000 0.5000 0.7641
Sb 0.5000 0.5000 0.2833

Properties
* formation energy without anion corrections: -49 meV/atom
* mass density: 9.5 g/cm³
* Fermi-level density of states: 0.69 states/eV/atom



# 9
Computed, not measured: a relaxed structure of Li4Mg3Pd at the PBE level of DFT.

Lattice parameters (Å, degrees): 9.9396 9.9396 4.7967 98.87 98.87 18.48
Fractional coordinates of all 8 atoms:
Li 0.1303 0.1303 0.0925
Li 0.2456 0.2456 0.7441
Li 0.7544 0.7544 0.2559
Li 0.8697 0.8697 0.9075
Mg 0.3865 0.3865 0.4212
Mg 0.5000 0.5000 0.0000
Mg 0.6135 0.6135 0.5788
Pd 0.0000 0.0000 0.5000

Properties
* mass density: 2.3 g/cm³
* Fermi-level density of states: 0.38 states/eV/atom
* energy of formation: -0.2184 eV/atom



# 10
Computed, not measured: a relaxed structure of U2GaOs at the PBE level of DFT.

Lattice parameters (Å, degrees): 10.1257 10.1257 10.1257 16.65 16.65 16.65
Fractional coordinates of all 4 atoms:
U 0.2460 0.2460 0.2460
U 0.7540 0.7540 0.7540
Ga 0.0000 0.0000 0.0000
Os 0.5000 0.5000 0.5000

Properties
* mass density: 16.4 g/cm³
* Fermi-level density of states: 1.44 states/eV/atom
* energy of formation: 0.0409 eV/atom



# 11
Computed, not measured: a relaxed structure of Ca2PrCu at the PBE level of DFT.

Lattice parameters (Å, degrees): 11.2732 11.2732 11.2732 19.07 19.07 19.07
Fractional coordinates of all 4 atoms:
Ca 0.1091 0.1091 0.1091
Ca 0.8909 0.8909 0.8909
Pr 0.0000 0.0000 0.0000
Cu 0.5000 0.5000 0.5000

Properties
* mass density: 3.5 g/cm³
* Fermi-level density of states: 0.85 states/eV/atom
* energy of formation: 0.2031 eV/atom



# 12
Computed, not measured: a relaxed structure of AgHg3Cl7 at the PBE level of DFT.

Lattice parameters (Å, degrees): 10.3102 10.3102 4.8043 94.60 94.60 124.60
Fractional coordinates of all 11 atoms:
Ag 0.0000 0.0000 0.0000
Hg 0.3190 0.6810 0.5000
Hg 0.5000 0.5000 0.0000
Hg 0.6810 0.3190 0.5000
Cl 0.0000 0.0000 0.5000
Cl 0.1459 0.5008 0.7706
Cl 0.3217 0.3217 0.2687
Cl 0.4992 0.8541 0.2294
Cl 0.5008 0.1459 0.7706
Cl 0.6783 0.6783 0.7313
Cl 0.8541 0.4992 0.2294

Properties
* formation energy without anion corrections: -502 meV/atom
* mass density: 3.8 g/cm³
* Fermi-level density of states: 0.00 states/eV/atom



# 13
Computed, not measured: a relaxed structure of BaSmAg2 at the PBE level of DFT.

Lattice parameters (Å, degrees): 6.3321 6.3321 6.3321 48.48 48.48 48.48
Fractional coordinates of all 4 atoms:
Ba 0.0000 0.0000 0.0000
Sm 0.5000 0.5000 0.5000
Ag 0.2059 0.2059 0.2059
Ag 0.7941 0.7941 0.7941

Properties
* mass density: 6.4 g/cm³
* Fermi-level density of states: 1.09 states/eV/atom
* energy of formation: -0.1456 eV/atom



# 14
Computed, not measured: a relaxed structure of Ba3ThTe4 at the PBE level of DFT.

Lattice parameters (Å, degrees): 8.4094 8.4094 4.7744 90.00 90.00 108.86
Fractional coordinates of all 8 atoms:
Ba 0.0000 0.0000 0.0000
Ba 0.0000 0.5000 0.5000
Ba 0.5000 0.0000 0.5000
Th 0.5000 0.5000 0.0000
Te 0.2642 0.7358 0.0000
Te 0.2725 0.2725 0.5000
Te 0.7275 0.7275 0.5000
Te 0.7358 0.2642 0.0000

Properties
* formation energy without anion corrections: -1517 meV/atom
* mass density: 6.0 g/cm³
* Fermi-level density of states: 0.48 states/eV/atom



# 15
Computed, not measured: a relaxed structure of Ta3Al4O14 at the PBE level of DFT.

Lattice parameters (Å, degrees): 7.4457 7.4457 4.6087 90.00 90.00 120.00
Fractional coordinates of all 21 atoms:
Ta 0.0552 0.2776 0.0000
Ta 0.2224 0.9448 0.0000
Ta 0.7224 0.7776 0.0000
Al 0.3333 0.6667 0.5071
Al 0.4581 0.3640 0.5020
Al 0.6360 0.0941 0.5020
Al 0.9059 0.5419 0.5020
O 0.0000 0.0000 0.8167
O 0.0966 0.4890 0.2760
O 0.1427 0.7120 0.7260
O 0.2484 0.1959 0.2278
O 0.2880 0.4307 0.7260
O 0.3924 0.9034 0.2760
O 0.4277 0.1397 0.7331
O 0.5110 0.6076 0.2760
O 0.5693 0.8573 0.7260
O 0.6667 0.3333 0.3274
O 0.7120 0.5723 0.7331
O 0.8041 0.0524 0.2278
O 0.8603 0.2880 0.7331
O 0.9476 0.7516 0.2278

Properties
* formation energy without anion corrections: -2805 meV/atom
* mass density: 6.6 g/cm³
* Fermi-level density of states: 0.45 states/eV/atom



# 16
Computed, not measured: a relaxed structure of Li4CeCd8 at the PBE level of DFT.

Lattice parameters (Å, degrees): 7.5784 7.5784 7.5784 96.98 96.98 139.19
Fractional coordinates of all 13 atoms:
Li 0.0000 0.0000 0.5000
Li 0.0000 0.5000 0.0000
Li 0.5000 0.0000 0.0000
Li 0.5000 0.5000 0.5000
Ce 0.0000 0.0000 0.0000
Cd 0.0000 0.3493 0.3493
Cd 0.0000 0.6507 0.6507
Cd 0.2863 0.5000 0.7863
Cd 0.3493 0.0000 0.3493
Cd 0.5000 0.2863 0.7863
Cd 0.5000 0.7137 0.2137
Cd 0.6507 0.0000 0.6507
Cd 0.7137 0.5000 0.2137

Properties
* mass density: 6.6 g/cm³
* Fermi-level density of states: 0.95 states/eV/atom
* energy of formation: -0.2171 eV/atom



# 17
Computed, not measured: a relaxed structure of Al2Hg2Bi at the PBE level of DFT.

Lattice parameters (Å, degrees): 6.9130 6.9130 6.9130 142.99 142.99 53.34
Fractional coordinates of all 5 atoms:
Al 0.1034 0.1034 0.0000
Al 0.8966 0.8966 0.0000
Hg 0.2500 0.7500 0.5000
Hg 0.7500 0.2500 0.5000
Bi 0.5000 0.5000 0.0000

Properties
* mass density: 9.3 g/cm³
* Fermi-level density of states: 0.47 states/eV/atom
* energy of formation: 0.1945 eV/atom



# 18
Computed, not measured: a relaxed structure of BaBi2As2 at the PBE level of DFT.

Lattice parameters (Å, degrees): 9.0577 9.0577 9.0577 30.08 30.08 30.08
Fractional coordinates of all 5 atoms:
Ba 0.0000 0.0000 0.0000
Bi 0.2124 0.2124 0.2124
Bi 0.7876 0.7876 0.7876
As 0.4123 0.4123 0.4123
As 0.5877 0.5877 0.5877

Properties
* mass density: 7.1 g/cm³
* Fermi-level density of states: 0.33 states/eV/atom
* energy of formation: -0.3969 eV/atom



# 19
Computed, not measured: a relaxed structure of Ac2Pr7Y4 at the PBE level of DFT.

Lattice parameters (Å, degrees): 6.4045 6.4045 13.3752 90.00 90.00 120.00
Fractional coordinates of all 13 atoms:
Ac 0.3333 0.6667 0.0000
Ac 0.6667 0.3333 0.0000
Pr 0.0000 0.0000 0.0000
Pr 0.0000 0.3750 0.7697
Pr 0.0000 0.6250 0.2303
Pr 0.3750 0.0000 0.7697
Pr 0.3750 0.3750 0.2303
Pr 0.6250 0.0000 0.2303
Pr 0.6250 0.6250 0.7697
Y 0.0000 0.0000 0.3933
Y 0.0000 0.0000 0.6067
Y 0.3333 0.6667 0.5000
Y 0.6667 0.3333 0.5000

Properties
* mass density: 6.3 g/cm³
* Fermi-level density of states: 1.45 states/eV/atom
* energy of formation: 0.1843 eV/atom



# 20
Computed, not measured: a relaxed structure of ScICl3 at the PBE level of DFT.

Lattice parameters (Å, degrees): 5.6478 5.6478 5.6478 90.00 90.00 90.00
Fractional coordinates of all 5 atoms:
Sc 0.0000 0.0000 0.0000
I 0.5000 0.5000 0.5000
Cl 0.0000 0.5000 0.5000
Cl 0.5000 0.0000 0.5000
Cl 0.5000 0.5000 0.0000

Properties
* formation energy without anion corrections: 180 meV/atom
* mass density: 2.6 g/cm³
* Fermi-level density of states: 1.64 states/eV/atom